Entry from Alexandria via LeMat-Bulk: a relaxed InRh2Au2 crystal (PBE).

```
data_InRh2Au2
_chemical_formula_sum 'In2 Rh4 Au4'
_space_group_name_H-M_alt 'P 4/m b m'
_space_group_IT_number 127
_space_group_name_Hall '-P 4 2ab'
_cell_length_a 6.8453
_cell_length_b 6.8453
_cell_length_c 3.8757
_cell_angle_alpha 90.00
_cell_angle_beta 90.00
_cell_angle_gamma 90.00
loop_
_atom_site_label
_atom_site_type_symbol
_atom_site_fract_x
_atom_site_fract_y
_atom_site_fract_z
In1 In 0.0000 0.0000 0.0000
Rh1 Rh 0.1341 0.3659 0.0000
Au1 Au 0.1635 0.6635 0.5000
```

Calculated values
Total moment: 0.000 μB per atom
DFT formation energy: 4.4 kJ/mol of atoms